[1]
Entry from Alexandria: a relaxed SiAg2Cl crystal (PBE-GGA).

formation energy without anion corrections	0.21	eV/f.u.
crystal system	monoclinic

a b c (Å): 7.8089 7.8089 3.3485
angles (deg): 90.44 90.44 23.38
Last column: nearest neighbours and their distance in Å.
Element x y z (fractional)
Si1 0.0000 0.0000 0.0000  6 Ag 2.58-2.67
Ag1 0.3665 0.3665 0.9842  2 Si 2.58, 4 Cl 2.81-2.85
Ag2 0.5887 0.5887 0.5038  1 Cl 2.61, 4 Si 2.67
Cl1 0.7593 0.7593 0.4912  5 Ag 2.61-2.85

=====

[2]
Entry from Alexandria: a relaxed CsBa2Pt crystal (PBE-GGA).

E_form	-1.7	eV per formula unit
crystal system	trigonal

a b c (Å): 12.9658 12.9658 12.9658
angles (deg): 20.84 20.84 20.84
Last column: nearest neighbours and their distance in Å.
Element x y z (fractional)
Cs1 0.0000 0.0000 0.0000  2 Ba 4.68, 6 Cs 4.69
Ba1 0.1231 0.1231 0.1231  3 Pt 3.17
Ba2 0.8769 0.8769 0.8769  3 Pt 3.17
Pt1 0.5000 0.5000 0.5000  6 Ba 3.17

=====

| no. | total moment (Bohr magnetons per cell) | DOS(E_F) (states/eV/f.u.) | energy relative to the lowest polymorph listed for this composition (meV per atom) |
| --- | --- | --- | --- |
| 1 | 0.0 | 1.18 | 34 |
| 2 | 0.0 | 3.26 | 0 |